## MnCd2Ni (PBE)

Data for a geometry-optimized MnCd2Ni structure.

Cell and atoms, written as extended XYZ:
```
4
Lattice="-2.397 -3.163 0.840 -0.318 -0.811 -3.962 3.266 -2.414 0.232" Properties=species:S:1:pos:R:3 pbc="T T T"
Cd 0.000 0.000 0.000
Cd -1.358 -1.987 -1.561
Ni 1.474 -1.612 -1.865
Mn 0.434 -2.789 0.536
```

Calculated values
E_form	207	meV/atom
electronic total energy	-3.99	eV/atom
total magnetization	3.99	μB/cell
space group	P4/mmm

=====

## NdZn2Cu2 (PBE)

Data for a geometry-optimized NdZn2Cu2 structure.

Cell and atoms, written as extended XYZ:
```
5
Lattice="-3.878 -1.135 0.065 1.117 -3.848 -0.523 1.665 1.831 5.699" Properties=species:S:1:pos:R:3 pbc="T T T"
Zn -1.796 -0.898 2.768
Zn 0.701 -2.254 2.473
Cu -1.316 -2.639 0.990
Cu 0.222 -0.514 4.251
Nd 0.000 0.000 0.000
```

Calculated values
E_form	-232	meV/atom
electronic total energy	-3.33	eV/atom
total magnetization	0.00	μB/cell
space group	I4/mmm

=====

## Cr5Se (PBE)

Data for a geometry-optimized Cr5Se structure.

Cell and atoms, written as extended XYZ:
```
6
Lattice="1.478 -6.173 0.000 1.478 6.173 0.000 0.000 0.000 3.985" Properties=species:S:1:pos:R:3 pbc="T T T"
Cr 1.478 2.117 1.993
Cr 1.478 0.000 0.000
Cr 1.478 -4.084 0.000
Cr 1.478 4.084 0.000
Cr 1.478 -2.117 1.993
Se 0.000 0.000 1.993
```

Calculated values
electronic total energy	-8.43	eV/atom
formation energy (no corrections)	0.17	eV/atom
total magnetization	0.39	μB/cell
space group	Cmmm

=====

## Nb2CuPd (PBE)

Data for a geometry-optimized Nb2CuPd structure.

Cell and atoms, written as extended XYZ:
```
4
Lattice="2.799 0.000 0.000 1.400 2.424 0.000 1.400 0.808 9.918" Properties=species:S:1:pos:R:3 pbc="T T T"
Nb 1.400 0.808 7.277
Nb 4.199 2.424 2.641
Cu 2.799 1.616 4.959
Pd 0.000 0.000 0.000
```

Calculated values
E_form	305	meV/atom
electronic total energy	-7.05	eV/atom
total magnetization	0.00	μB/cell
space group	R-3m

=====

## PuThCu2Ge2 (PBE)

Data for a geometry-optimized PuThCu2Ge2 structure.

Cell and atoms, written as extended XYZ:
```
6
Lattice="-4.207 0.670 -0.276 1.502 -3.165 2.439 0.375 4.851 6.065" Properties=species:S:1:pos:R:3 pbc="T T T"
Pu 0.000 0.000 0.000
Cu -2.212 0.580 2.116
Cu -0.118 1.775 6.113
Ge -2.022 3.042 5.194
Ge -0.308 -0.687 3.034
Th 0.187 2.425 3.033
```

Calculated values
E_form	-475	meV/atom
electronic total energy	-7.00	eV/atom
total magnetization	5.85	μB/cell
space group	P-3m1

=====

## Bi2Pd5PbAu (PBE)

Data for a geometry-optimized Bi2Pd5PbAu structure.

Cell and atoms, written as extended XYZ:
```
18
Lattice="-1.809 2.145 2.965 -4.904 -6.287 -1.254 5.735 -6.044 7.870" Properties=species:S:1:pos:R:3 pbc="T T T"
Au -2.069 -6.916 3.740
Au 3.408 -5.711 9.020
Pd 3.360 -3.534 7.416
Pd 1.250 -2.805 5.601
Pd -2.651 -7.256 6.441
Pd -4.875 -4.591 0.347
Pd 0.105 -7.418 5.430
Pd -0.001 -1.165 0.842
Pd -1.467 -4.578 2.417
Pd -1.987 -1.815 2.911
Pd -4.296 -6.696 2.222
Pd 0.964 -6.108 7.816
Bi -0.708 -8.234 8.334
Bi 0.846 -3.127 2.778
Bi -4.151 -3.945 3.131
Bi 2.461 -5.490 5.472
Pb 2.970 -8.496 7.957
Pb -1.111 -4.679 5.517
```

Calculated values
E_form	-183	meV/atom
electronic total energy	-4.71	eV/atom
total magnetization	0.00	μB/cell
space group	Cmc2_1

=====

## PrDyTmGa (PBE)

Data for a geometry-optimized PrDyTmGa structure.

Cell and atoms, written as extended XYZ:
```
4
Lattice="-3.409 -4.113 -0.559 0.037 -4.023 3.560 -4.089 -0.585 3.434" Properties=species:S:1:pos:R:3 pbc="T T T"
Tm -5.596 -6.541 4.827
Pr -3.730 -4.361 3.218
Dy 0.000 0.000 0.000
Ga -1.865 -2.180 1.609
```

Calculated values
E_form	-99	meV/atom
electronic total energy	-4.32	eV/atom
total magnetization	0.64	μB/cell
space group	F-43m

=====

## ZrAsPt2 (PBE)

Data for a geometry-optimized ZrAsPt2 structure.

Cell and atoms, written as extended XYZ:
```
4
Lattice="-1.332 2.403 -2.416 -3.170 -1.583 0.172 -4.616 1.756 4.292" Properties=species:S:1:pos:R:3 pbc="T T T"
As -6.506 1.331 2.140
Zr -2.612 1.245 -0.092
Pt -3.173 -1.574 0.183
Pt -3.890 0.077 2.221
```

Calculated values
E_form	-767	meV/atom
electronic total energy	-7.09	eV/atom
total magnetization	0.00	μB/cell
space group	Pmmm

=====

- The lowest electronic total energy belongs to which entry?
  Cr5Se